[1]
Density functional theory data (PBEsol) for Tc7Ir after structural relaxation.

It has space group Fm-3m (No. 225), with a = 7.650 Å, b = 7.650 Å, c = 7.650 Å, α = 90.00°, β = 90.00° and γ = 90.00°. The inequivalent atoms are Tc at (0.000, 0.000, 0.000), Tc at (0.000, 0.250, 0.250) and Ir at (0.000, 0.000, 0.500).

As for the calculated total energy: -355.37 eV for the cell shown. The value obtained for the density of states at the Fermi level is 8.13 states/eV/f.u.

[2]
Density functional theory data (PBEsol) for CdCuHg after structural relaxation.

It has space group Imm2 (No. 44), with a = 3.107 Å, b = 3.138 Å, c = 10.709 Å, α = 90.00°, β = 90.00° and γ = 90.00°. The inequivalent atoms are Cd at (0.000, 0.000, 0.000), Cu at (0.000, 0.000, 0.651) and Hg at (0.000, 0.000, 0.302).

As for the calculated total energy: -11.67 eV for the cell shown. The value obtained for the density of states at the Fermi level is 0.77 states/eV/f.u.

[3]
Density functional theory data (PBEsol) for HoSi3Ir after structural relaxation.

It has space group I4mm (No. 107), with a = 4.140 Å, b = 4.140 Å, c = 9.728 Å, α = 90.00°, β = 90.00° and γ = 90.00°. The inequivalent atoms are Ho at (0.000, 0.000, 0.000), Si at (0.000, 0.000, 0.584), Si at (0.000, 0.500, 0.232) and Ir at (0.000, 0.000, 0.347).

As for the energy relative to the elements, uncorrected: -0.837 eV per atom. As for the calculated total energy: -72.40 eV for the cell shown. The value obtained for the density of states at the Fermi level is 1.27 states/eV/f.u.

[4]
Density functional theory data (PBEsol) for Cr2TeRh after structural relaxation.

It has space group I4/mmm (No. 139), with a = 3.854 Å, b = 3.854 Å, c = 7.612 Å, α = 90.00°, β = 90.00° and γ = 90.00°. The inequivalent atoms are Cr at (0.000, 0.500, 0.250), Te at (0.000, 0.000, 0.000) and Rh at (0.000, 0.000, 0.500).

As for the energy relative to the elements, uncorrected: 0.266 eV per atom. As for the calculated total energy: -62.17 eV for the cell shown. The value obtained for the density of states at the Fermi level is 3.32 states/eV/f.u.

[5]
Density functional theory data (PBEsol) for PPdPtCl2 after structural relaxation.

It has space group P4/mmm (No. 123), with a = 4.596 Å, b = 4.596 Å, c = 4.704 Å, α = 90.00°, β = 90.00° and γ = 90.00°. The inequivalent atoms are P at (0.000, 0.000, 0.000), Pd at (0.000, 0.000, 0.500), Pt at (0.500, 0.500, 0.000) and Cl at (0.000, 0.500, 0.500).

As for the energy relative to the elements, uncorrected: 0.796 eV per atom. As for the calculated total energy: -18.75 eV for the cell shown. The value obtained for the density of states at the Fermi level is 4.78 states/eV/f.u.

[6]
Density functional theory data (PBEsol) for MnAlTl2 after structural relaxation.

It has space group F-43m (No. 216), with a = 7.060 Å, b = 7.060 Å, c = 7.060 Å, α = 90.00°, β = 90.00° and γ = 90.00°. The inequivalent atoms are Mn at (0.000, 0.000, 0.000), Al at (0.250, 0.250, 0.250), Tl at (0.000, 0.000, 0.500) and Tl at (0.250, 0.250, 0.750).

Its energy above the most stable polymorph in this dataset is 226 meV/atom. As for the calculated total energy: -67.25 eV for the cell shown. The value obtained for the density of states at the Fermi level is 2.72 states/eV/f.u.

[7]
Density functional theory data (PBEsol) for Fe2HgSb after structural relaxation.

It has space group R-3m (No. 166, hexagonal axes), with a = 3.0626 Å, b = 3.0626 Å, c = 24.2986 Å, α = 90.00°, β = 90.00° and γ = 120.00°. The inequivalent atoms are Fe at (0.0000, 0.0000, 0.2471), Hg at (0.0000, 0.0000, 0.0000) and Sb at (0.0000, 0.0000, 0.5000).

As for the energy relative to the elements, uncorrected: 0.474 eV per atom. As for the calculated total energy: -63.47 eV for the cell shown. The value obtained for the density of states at the Fermi level is 3.89 states/eV/f.u.

[8]
Density functional theory data (PBEsol) for Ba2CrMoO6 after structural relaxation.

It has space group Fm-3m (No. 225), with a = 7.934 Å, b = 7.934 Å, c = 7.934 Å, α = 90.00°, β = 90.00° and γ = 90.00°. The inequivalent atoms are Ba at (0.250, 0.250, 0.250), Cr at (0.000, 0.000, 0.000), Mo at (0.000, 0.000, 0.500) and O at (0.000, 0.000, 0.251).

As for the energy relative to the elements, uncorrected: -2.471 eV per atom. As for the calculated total energy: -330.05 eV for the cell shown. The value obtained for the density of states at the Fermi level is 1.60 states/eV/f.u.